! MnCl3O (GGA+U, relaxed); values from VASP
! - crystal system = cubic
! - electronic total energy (eV per atom) = -3.3767
! - spin magnetization (μB per formula unit) = 5.16
! - energy relative to the lowest polymorph listed for this composition (meV/atom) = 258.2
&SYSTEM
  ibrav = 0, nat = 5, ntyp = 3
/
ATOMIC_SPECIES
Mn 54.94 Mn.upf
O 16.00 O.upf
Cl 35.45 Cl.upf
CELL_PARAMETERS angstrom
-3.0543 -2.6131 2.0854
3.0786 -3.2997 0.3744
1.3035 1.6703 4.0021
ATOMIC_POSITIONS crystal
Mn 0.5000 0.5000 0.5000
O 0.0000 0.0000 0.0000
Cl 0.0000 0.5000 0.0000
Cl 0.0000 0.0000 0.5000
Cl 0.5000 0.0000 0.0000